No. 1
A plane-wave DFT calculation with SCAN was carried out for a PBEsol-optimized structure of Cs2SiW.

Geometry as POSCAR:
```
Cs2SiW
1.0
0.000 4.139 4.139
4.139 0.000 4.139
4.139 4.139 0.000
Cs Si W
2 1 1
direct
0.250 0.250 0.250 Cs
0.750 0.750 0.750 Cs
0.000 0.000 0.000 Si
0.500 0.500 0.500 W
```

Results
For the total energy, the calculation gives -147.2 eV per cell. The value obtained for the formation energy from raw total energies is 2041 meV/atom. The space-group type is Fm-3m (225). For the total moment, the calculation gives 3.2 μB/f.u.

No. 2
A plane-wave DFT calculation with SCAN was carried out for a PBEsol-optimized structure of NbGa2HCl.

Geometry as POSCAR:
```
NbGa2HCl
1.0
5.290 0.000 0.000
0.000 5.290 0.000
0.000 0.000 2.861
Nb Ga H Cl
1 2 1 1
direct
0.000 0.000 0.000 Nb
0.000 0.500 0.500 Ga
0.500 0.000 0.500 Ga
0.500 0.500 0.000 H
0.500 0.500 0.500 Cl
```

Results
For the total energy, the calculation gives -75.3 eV per cell. The space-group type is P4/mmm (123). For the total moment, the calculation gives 0.9 μB/f.u.

No. 3
A plane-wave DFT calculation with SCAN was carried out for a PBEsol-optimized structure of LaNiPd2.

Geometry as POSCAR:
```
LaNiPd2
1.0
0.000 3.283 3.283
3.283 0.000 3.283
3.283 3.283 0.000
La Ni Pd
1 1 2
direct
0.000 0.000 0.000 La
0.500 0.500 0.500 Ni
0.250 0.250 0.250 Pd
0.750 0.750 0.750 Pd
```

Results
For the total energy, the calculation gives -126.0 eV per cell. Its formation energy is -0.292 eV/atom. The space-group type is Fm-3m (225). For the total moment, the calculation gives 0.0 μB/f.u.

No. 4
A plane-wave DFT calculation with SCAN was carried out for a PBEsol-optimized structure of CaScSi.

Geometry as POSCAR:
```
CaScSi
1.0
3.461 0.000 0.000
-1.731 2.998 0.000
0.000 0.000 7.083
Ca Sc Si
1 1 1
direct
0.000 0.000 0.000 Ca
0.667 0.333 0.562 Sc
0.333 0.667 0.300 Si
```

Results
For the total energy, the calculation gives -34.1 eV per cell. The value obtained for the formation energy from raw total energies is -47 meV/atom. The space-group type is P3m1 (156). For the total moment, the calculation gives 0.2 μB/f.u.

No. 5
A plane-wave DFT calculation with SCAN was carried out for a PBEsol-optimized structure of As2PPt.

Geometry as POSCAR:
```
As2PPt
1.0
-2.798 2.798 5.469
2.798 -2.798 5.469
2.798 2.798 -5.469
As P Pt
4 2 2
direct
0.122 0.625 0.997 As
0.375 0.372 0.497 As
0.628 0.125 0.003 As
0.875 0.878 0.503 As
0.250 0.750 0.500 P
0.500 0.500 0.000 P
0.000 0.000 0.000 Pt
0.750 0.250 0.500 Pt
```

Results
For the total energy, the calculation gives -242.7 eV per cell. Its formation energy is -0.094 eV/atom. The space-group type is I-42d (122). For the total moment, the calculation gives 0.0 μB/f.u.

No. 6
A plane-wave DFT calculation with SCAN was carried out for a PBEsol-optimized structure of Ni5Ir.

Geometry as POSCAR:
```
Ni5Ir
1.0
4.077 0.000 0.000
0.000 1.273 6.448
0.000 -1.273 6.448
Ni Ir
5 1
direct
0.000 0.000 0.000 Ni
0.000 0.326 0.326 Ni
0.000 0.662 0.662 Ni
0.500 0.214 0.214 Ni
0.500 0.553 0.553 Ni
0.500 0.884 0.884 Ir
```

Results
The value obtained for the energy above the most stable polymorph in this dataset is 26.3 meV per atom. For the total energy, the calculation gives -151.7 eV per cell. Its formation energy is 0.049 eV/atom. The space-group type is Amm2 (38). For the total moment, the calculation gives 4.4 μB/f.u.

No. 7
A plane-wave DFT calculation with SCAN was carried out for a PBEsol-optimized structure of TaTlNi2.

Geometry as POSCAR:
```
TaTlNi2
1.0
1.479 0.854 8.258
-1.479 0.854 8.258
0.000 -1.708 8.258
Ta Tl Ni
1 1 2
direct
0.000 0.000 0.000 Ta
0.770 0.770 0.770 Tl
0.257 0.257 0.257 Ni
0.519 0.519 0.519 Ni
```

Results
The value obtained for the energy above the most stable polymorph in this dataset is 493.8 meV per atom. For the total energy, the calculation gives -169.2 eV per cell. Its formation energy is 0.516 eV/atom. The space-group type is R3m (160). For the total moment, the calculation gives 0.0 μB/f.u.

No. 8
A plane-wave DFT calculation with SCAN was carried out for a PBEsol-optimized structure of HfTe2Rh.

Geometry as POSCAR:
```
HfTe2Rh
1.0
0.000 3.417 3.417
3.417 0.000 3.417
3.417 3.417 0.000
Hf Te Rh
1 2 1
direct
0.000 0.000 0.000 Hf
0.250 0.250 0.250 Te
0.750 0.750 0.750 Te
0.500 0.500 0.500 Rh
```

Results
For the total energy, the calculation gives -171.9 eV per cell. The value obtained for the formation energy from raw total energies is -237 meV/atom. The space-group type is Fm-3m (225). For the total moment, the calculation gives 0.0 μB/f.u.